1.
## AlNiHgPd (PBE-GGA)

Data for a relaxed AlNiHgPd crystal.

Structure (CIF):
```
data_AlNiHgPd
_chemical_formula_sum 'Al4 Ni4 Hg4 Pd4'
_cell_length_a 6.264
_cell_length_b 6.264
_cell_length_c 6.264
_cell_angle_alpha 90.00
_cell_angle_beta 90.00
_cell_angle_gamma 90.00
_space_group_name_H-M_alt 'F -4 3 m'
_space_group_IT_number 216
_space_group_name_Hall 'F -4 2 3'
loop_
_atom_site_label
_atom_site_type_symbol
_atom_site_fract_x
_atom_site_fract_y
_atom_site_fract_z
Al1 Al 0.000 0.000 0.000
Ni1 Ni 0.250 0.250 0.250
Hg1 Hg 0.000 0.000 0.500
Pd1 Pd 0.250 0.250 0.750
```


2.
## LuCoAsAu (PBE-GGA)

Data for a relaxed LuCoAsAu crystal.

Structure (CIF):
```
data_LuCoAsAu
_chemical_formula_sum 'Lu4 Co4 As4 Au4'
_cell_length_a 6.579
_cell_length_b 6.579
_cell_length_c 6.579
_cell_angle_alpha 90.00
_cell_angle_beta 90.00
_cell_angle_gamma 90.00
_space_group_name_H-M_alt 'F -4 3 m'
_space_group_IT_number 216
_space_group_name_Hall 'F -4 2 3'
loop_
_atom_site_label
_atom_site_type_symbol
_atom_site_fract_x
_atom_site_fract_y
_atom_site_fract_z
Lu1 Lu 0.000 0.000 0.000
Co1 Co 0.250 0.250 0.750
As1 As 0.000 0.000 0.500
Au1 Au 0.250 0.250 0.250
```


Results for energy relative to the lowest polymorph listed for this composition: 0, 146 (in meV/atom, following the order of the records).
Results for mass density: 10.61, 11.80 (in g cm⁻³, following the order of the records).